Entry 1:
# K3TbTh3Te8 | Alexandria | GGA-PBE | optimized geometry
data_K3TbTh3Te8
_cell_length_a 8.9198
_cell_length_b 8.9198
_cell_length_c 25.6132
_cell_angle_alpha 90.00
_cell_angle_beta 90.00
_cell_angle_gamma 120.00
_space_group_name_H-M_alt 'R -3 m'
_space_group_IT_number 166
_space_group_name_Hall '-R 3 2"'
loop_
_atom_site_label
_atom_site_fract_x
_atom_site_fract_y
_atom_site_fract_z
K1 0.0000 0.5000 0.0000
Tb1 0.0000 0.0000 0.5000
Th1 0.0000 0.5000 0.5000
Te1 0.0000 0.0000 0.2402
Te2 0.0019 0.5009 0.2377
# formation energy without anion corrections = -1.240 eV/atom

Entry 2:
# K2Ba2TeO6 | Alexandria | GGA-PBE | optimized geometry
data_K2Ba2TeO6
_cell_length_a 6.6132
_cell_length_b 11.0703
_cell_length_c 6.6462
_cell_angle_alpha 90.00
_cell_angle_beta 103.05
_cell_angle_gamma 90.00
_space_group_name_H-M_alt 'C 1 2/m 1'
_space_group_IT_number 12
loop_
_space_group_symop_operation_xyz
'x,y,z'
'-x,-y,-z'
'-x,y,-z'
'x,-y,z'
'x+1/2,y+1/2,z'
'-x+1/2,-y+1/2,-z'
'-x+1/2,y+1/2,-z'
'x+1/2,-y+1/2,z'
loop_
_atom_site_label
_atom_site_fract_x
_atom_site_fract_y
_atom_site_fract_z
K1 0.0000 0.1442 0.0000
Ba1 0.0000 0.3381 0.5000
Te1 0.0000 0.0000 0.5000
O1 0.1666 0.1298 0.6684
O2 0.1989 0.0000 0.3156
# formation energy without anion corrections = -1.843 eV/atom

Entry 3:
# Dy2PaAl9 | Alexandria | GGA-PBE | optimized geometry
data_Dy2PaAl9
_cell_length_a 5.5158
_cell_length_b 5.5158
_cell_length_c 26.4111
_cell_angle_alpha 90.00
_cell_angle_beta 90.00
_cell_angle_gamma 120.00
_space_group_name_H-M_alt 'R -3 m'
_space_group_IT_number 166
_space_group_name_Hall '-R 3 2"'
loop_
_atom_site_label
_atom_site_fract_x
_atom_site_fract_y
_atom_site_fract_z
Dy1 0.0000 0.0000 0.1395
Pa1 0.0000 0.0000 0.0000
Al1 0.0000 0.0000 0.3345
Al2 0.0000 0.0000 0.5000
Al3 0.0056 0.5028 0.9173
# energy relative to the elements = -3.88 eV per formula unit

Entry 4:
# BaSbAu | Alexandria | GGA-PBE | optimized geometry
data_BaSbAu
_cell_length_a 5.1069
_cell_length_b 9.2587
_cell_length_c 8.3585
_cell_angle_alpha 90.00
_cell_angle_beta 90.00
_cell_angle_gamma 90.00
_space_group_name_H-M_alt 'I m m a'
_space_group_IT_number 74
_space_group_name_Hall '-I 2b 2'
loop_
_atom_site_label
_atom_site_fract_x
_atom_site_fract_y
_atom_site_fract_z
Ba1 0.0000 0.0000 0.0000
Sb1 0.0000 0.2500 0.3415
Au1 0.0000 0.2500 0.6811
# formation energy without anion corrections = -0.743 eV/atom